# 1
VASP calculation (PBE) on a relaxed structure of La12CoCu6.

Results
As for the crystal system: trigonal. Its symmetry is R-3, No. 148. As for the raw total energy: -4.810 eV per atom. The formation energy comes out at -30.2 meV per atom.

Cell: 8.1867 8.1867 8.1867 Å, 93.16 93.16 93.16°
Last column: nearest neighbours and their distance in Å.
Fractional positions:
La  0.0389  0.9182  0.6813  1 Co 2.70
La  0.0818  0.3187  0.9611  1 Co 2.70
La  0.1873  0.4220  0.5490  4 Cu 3.03-3.15
La  0.3187  0.9611  0.0818  1 Co 2.70
La  0.4220  0.5490  0.1873  4 Cu 3.03-3.15
La  0.4510  0.8127  0.5780  4 Cu 3.03-3.15
La  0.5490  0.1873  0.4220  4 Cu 3.03-3.15
La  0.5780  0.4510  0.8127  4 Cu 3.03-3.15
La  0.6813  0.0389  0.9182  1 Co 2.70
La  0.8127  0.5780  0.4510  4 Cu 3.03-3.15
La  0.9182  0.6813  0.0389  1 Co 2.70
La  0.9611  0.0818  0.3187  1 Co 2.70
Co  0.0000  0.0000  0.0000  6 La 2.70
Cu  0.1470  0.7386  0.3526  8 La 3.03-3.29
Cu  0.2614  0.6474  0.8530  8 La 3.03-3.29
Cu  0.3526  0.1470  0.7386  8 La 3.03-3.29
Cu  0.6474  0.8530  0.2614  8 La 3.03-3.29
Cu  0.7386  0.3526  0.1470  8 La 3.03-3.29
Cu  0.8530  0.2614  0.6474  8 La 3.03-3.29

---

# 2
VASP calculation (PBE) on a relaxed structure of La6CoCu2.

Results
As for the crystal system: monoclinic. Its symmetry is P2_1/c, No. 14. As for the raw total energy: -5.075 eV per atom. The formation energy comes out at -89.9 meV per atom.

Cell: 6.8820 7.4159 12.1903 Å, 90.00 120.22 90.00°
Last column: nearest neighbours and their distance in Å.
Fractional positions:
La  0.1136  0.0388  0.2546  1 Co 2.81, 2 Cu 3.02-3.06
La  0.1136  0.4612  0.7546  1 Co 2.81, 2 Cu 3.02-3.06
La  0.2385  0.6873  0.0676  1 Co 2.72
La  0.2385  0.8127  0.5676  1 Co 2.72
La  0.3722  0.1923  0.0634  1 Co 2.68, 1 Cu 2.99
La  0.3722  0.3077  0.5634  1 Co 2.68, 1 Cu 2.99
La  0.6278  0.6923  0.4366  1 Co 2.68, 1 Cu 2.99
La  0.6278  0.8077  0.9366  1 Co 2.68, 1 Cu 2.99
La  0.7615  0.1873  0.4324  1 Co 2.72
La  0.7615  0.3127  0.9324  1 Co 2.72
La  0.8864  0.5388  0.2454  1 Co 2.81, 2 Cu 3.02-3.06
La  0.8864  0.9612  0.7454  1 Co 2.81, 2 Cu 3.02-3.06
Co  0.0000  0.0000  0.0000  6 La 2.68-2.81
Co  0.0000  0.5000  0.5000  6 La 2.68-2.81
Cu  0.3240  0.0989  0.7675  6 La 2.99-3.09
Cu  0.3240  0.4011  0.2675  6 La 2.99-3.09
Cu  0.6760  0.5989  0.7325  6 La 2.99-3.09
Cu  0.6760  0.9011  0.2325  6 La 2.99-3.09

---

# 3
VASP calculation (PBE) on a relaxed structure of La4CoCu2.

Results
As for the crystal system: tetragonal. Its symmetry is I4/mmm, No. 139. The excess energy over the best structure of this formula in the dataset comes out at 111 meV/atom. As for the raw total energy: -5.001 eV per atom. The formation energy comes out at 0.5 meV per atom.

Cell: 8.3222 8.3222 8.3222 Å, 143.84 143.84 52.07°
Last column: nearest neighbours and their distance in Å.
Fractional positions:
La  0.0000  0.5000  0.5000  2 Co 2.58
La  0.1915  0.1915  0.0000  1 Cu 2.83, 1 Co 2.86
La  0.5000  0.0000  0.5000  2 Co 2.58
La  0.8085  0.8085  0.0000  1 Cu 2.83, 1 Co 2.86
Co  0.0000  0.0000  0.0000  6 La 2.58-2.86
Cu  0.3805  0.3805  0.0000  5 La 2.83-3.14
Cu  0.6195  0.6195  0.0000  5 La 2.83-3.14

---

# 4
VASP calculation (PBE) on a relaxed structure of LaCo3Cu.

Results
As for the crystal system: cubic. Its symmetry is Pm-3m, No. 221. The excess energy over the best structure of this formula in the dataset comes out at 0 meV/atom. As for the raw total energy: -5.456 eV per atom. The formation energy comes out at 612.4 meV per atom.

Cell: 4.4663 4.4663 4.4663 Å, 90.00 90.00 90.00°
Last column: nearest neighbours and their distance in Å.
Fractional positions:
La  0.0000  0.0000  0.0000  12 Co 3.16
Co  0.0000  0.5000  0.5000  2 Cu 2.23
Co  0.5000  0.0000  0.5000  2 Cu 2.23
Co  0.5000  0.5000  0.0000  2 Cu 2.23
Cu  0.5000  0.5000  0.5000  6 Co 2.23

---

# 5
VASP calculation (PBE) on a relaxed structure of La2CoCu3.

Results
As for the crystal system: orthorhombic. Its symmetry is Pmm2, No. 25. As for the raw total energy: -5.017 eV per atom. The formation energy comes out at -141.9 meV per atom.

Cell: 3.9407 4.2410 7.3510 Å, 90.00 90.00 90.00°
Last column: nearest neighbours and their distance in Å.
Fractional positions:
La  0.0000  0.0000  0.0000  2 Co 3.01, 10 Cu 3.10-3.29
La  0.0000  0.5000  0.4684  8 Cu 3.06-3.22, 4 Co 3.12
Co  0.5000  0.0000  0.3103  3 Cu 2.42-2.43
Cu  0.5000  0.0000  0.6408  1 Co 2.43, 2 Cu 2.48
Cu  0.5000  0.5000  0.1507  2 Co 2.42, 1 Cu 2.47
Cu  0.5000  0.5000  0.8151  3 Cu 2.47-2.48

---

# 6
VASP calculation (PBE) on a relaxed structure of LaCo3Cu.

Results
As for the crystal system: cubic. Its symmetry is Pm-3m, No. 221. The excess energy over the best structure of this formula in the dataset comes out at 1079 meV/atom. As for the raw total energy: -4.376 eV per atom. The formation energy comes out at 1691.7 meV per atom.

Cell: 4.5702 4.5702 4.5702 Å, 90.00 90.00 90.00°
Last column: nearest neighbours and their distance in Å.
Fractional positions:
La  0.0000  0.0000  0.0000  6 Co 2.29
Co  0.0000  0.0000  0.5000  2 La 2.29
Co  0.0000  0.5000  0.0000  2 La 2.29
Co  0.5000  0.0000  0.0000  2 La 2.29
Cu  0.5000  0.5000  0.5000  12 Co 3.23

---

# 7
VASP calculation (PBE) on a relaxed structure of LaCoCu12.

Results
As for the crystal system: cubic. Its symmetry is Fm-3c, No. 226. As for the raw total energy: -4.437 eV per atom. The formation energy comes out at -66.0 meV per atom.

Cell: 8.1753 8.1753 8.1753 Å, 60.00 60.00 60.00°
Last column: nearest neighbours and their distance in Å.
Fractional positions:
La  0.2500  0.2500  0.2500  24 Cu 3.38
La  0.7500  0.7500  0.7500  24 Cu 3.38
Co  0.0000  0.0000  0.0000  12 Cu 2.47
Co  0.5000  0.5000  0.5000  12 Cu 2.47
Cu  0.0626  0.2958  0.7042  9 Cu 2.47-2.70, 1 Co 2.47
Cu  0.0626  0.7042  0.9374  9 Cu 2.47-2.70, 1 Co 2.47
Cu  0.0626  0.9374  0.2958  9 Cu 2.47-2.70, 1 Co 2.47
Cu  0.2042  0.4374  0.7958  9 Cu 2.47-2.70, 1 Co 2.47
Cu  0.2042  0.5626  0.4374  9 Cu 2.47-2.70, 1 Co 2.47
Cu  0.2042  0.7958  0.5626  9 Cu 2.47-2.70, 1 Co 2.47
Cu  0.2958  0.0626  0.9374  9 Cu 2.47-2.70, 1 Co 2.47
Cu  0.2958  0.7042  0.0626  9 Cu 2.47-2.70, 1 Co 2.47
Cu  0.2958  0.9374  0.7042  9 Cu 2.47-2.70, 1 Co 2.47
Cu  0.4374  0.2042  0.5626  9 Cu 2.47-2.70, 1 Co 2.47
Cu  0.4374  0.5626  0.7958  9 Cu 2.47-2.70, 1 Co 2.47
Cu  0.4374  0.7958  0.2042  9 Cu 2.47-2.70, 1 Co 2.47
Cu  0.5626  0.2042  0.7958  9 Cu 2.47-2.70, 1 Co 2.47
Cu  0.5626  0.4374  0.2042  9 Cu 2.47-2.70, 1 Co 2.47
Cu  0.5626  0.7958  0.4374  9 Cu 2.47-2.70, 1 Co 2.47
Cu  0.7042  0.0626  0.2958  9 Cu 2.47-2.70, 1 Co 2.47
Cu  0.7042  0.2958  0.9374  9 Cu 2.47-2.70, 1 Co 2.47
Cu  0.7042  0.9374  0.0626  9 Cu 2.47-2.70, 1 Co 2.47
Cu  0.7958  0.2042  0.4374  9 Cu 2.47-2.70, 1 Co 2.47
Cu  0.7958  0.4374  0.5626  9 Cu 2.47-2.70, 1 Co 2.47
Cu  0.7958  0.5626  0.2042  9 Cu 2.47-2.70, 1 Co 2.47
Cu  0.9374  0.0626  0.7042  9 Cu 2.47-2.70, 1 Co 2.47
Cu  0.9374  0.2958  0.0626  9 Cu 2.47-2.70, 1 Co 2.47
Cu  0.9374  0.7042  0.2958  9 Cu 2.47-2.70, 1 Co 2.47

---

# 8
VASP calculation (PBE) on a relaxed structure of La5Co2Cu5.

Results
As for the crystal system: monoclinic. Its symmetry is C2/m, No. 12. As for the raw total energy: -5.062 eV per atom. The formation energy comes out at -117.9 meV per atom.

Cell: 7.8127 7.8127 11.2582 Å, 129.22 129.22 31.25°
Last column: nearest neighbours and their distance in Å.
Fractional positions:
La  0.0000  0.0000  0.0000  4 Co 3.06, 6 Cu 3.19
La  0.3026  0.3026  0.4145  3 Co 2.95-3.10, 7 Cu 3.01-3.23
La  0.3823  0.3823  0.1794  1 Co 2.81, 3 Cu 2.95-3.06
La  0.6177  0.6177  0.8206  1 Co 2.81, 3 Cu 2.95-3.06
La  0.6974  0.6974  0.5855  3 Co 2.95-3.10, 7 Cu 3.01-3.23
Co  0.3974  0.3974  0.7415  3 Cu 2.47-2.52
Co  0.6026  0.6026  0.2585  3 Cu 2.47-2.52
Cu  0.0000  0.0000  0.5000  2 Cu 2.62
Cu  0.0644  0.0644  0.3326  2 Co 2.47, 1 Cu 2.62
Cu  0.2900  0.2900  0.8430  1 Co 2.52
Cu  0.7100  0.7100  0.1570  1 Co 2.52
Cu  0.9356  0.9356  0.6674  2 Co 2.47, 1 Cu 2.62